{"formula": "ScTc2Cl", "functional": "PBE", "state": "optimized geometry", "dos_ef_per_ev_fu": 1.21, "mass_density_g_cm3": 6.2, "sg": "No. 8", "e_form_raw_ev_per_fu": 0.2, "magmom_total_mub_per_fu": 0.00, "polymorph_energy_mev_per_atom": 396, "lattice": [[-0.238, 2.856, -3.767], [1.240, -0.019, -4.568], [-4.292, -1.443, -2.738]], "species": ["Cl", "Tc", "Tc", "Sc"], "fractional_positions": [[0.533, 0.533, 0.591], [0.237, 0.237, 0.189], [0.930, 0.930, 0.067], [0.799, 0.799, 0.653]]}



{"formula": "ScTc2Cl", "functional": "PBE", "state": "optimized geometry", "dos_ef_per_ev_fu": 5.19, "mass_density_g_cm3": 7.2, "sg": "No. 123", "e_form_raw_ev_per_fu": 1.9, "magmom_total_mub_per_fu": 0.00, "polymorph_energy_mev_per_atom": 838, "lattice": [[3.075, 0.000, 0.000], [0.000, 3.075, 0.000], [0.000, 0.000, 6.753]], "species": ["Sc", "Tc", "Tc", "Cl"], "fractional_positions": [[0.500, 0.500, 0.750], [0.000, 0.000, 0.484], [0.000, 0.000, 0.016], [0.500, 0.500, 0.250]]}



{"formula": "ScTc2Cl", "functional": "PBE", "state": "optimized geometry", "dos_ef_per_ev_fu": 1.92, "mass_density_g_cm3": 7.3, "sg": "No. 225", "e_form_raw_ev_per_fu": 3.1, "magmom_total_mub_per_fu": 0.00, "polymorph_energy_mev_per_atom": 1125, "lattice": [[0.000, 3.158, 3.158], [3.158, 0.000, 3.158], [3.158, 3.158, 0.000]], "species": ["Tc", "Tc", "Sc", "Cl"], "fractional_positions": [[0.250, 0.250, 0.250], [0.750, 0.750, 0.750], [0.500, 0.500, 0.500], [0.000, 0.000, 0.000]]}